[1]
VASP calculation (GGA-PBE) on crystalline Cs2Pb2Se3 at its relaxed geometry.

Cell lengths 12.8005, 12.8005, 7.9850 Å; angles 107.55, 107.55, 92.90 degrees
Last column: nearest neighbours and their distance in Å.
Fractional coordinates of all 28 atoms:
Cs: 0.0693 0.9307 0.7500  6 Se 3.65-4.00
Cs: 0.2310 0.7690 0.2500  4 Se 3.59-3.87, 2 Pb 3.83
Cs: 0.3066 0.4754 0.4328  5 Se 3.63-3.98
Cs: 0.4754 0.3066 0.9328  5 Se 3.63-3.98
Cs: 0.5246 0.6934 0.0672  5 Se 3.63-3.98
Cs: 0.6934 0.5246 0.5672  5 Se 3.63-3.98
Cs: 0.7690 0.2310 0.7500  4 Se 3.59-3.87, 2 Pb 3.83
Cs: 0.9307 0.0693 0.2500  6 Se 3.65-4.00
Pb: 0.0551 0.5718 0.7653  3 Se 2.86-3.00
Pb: 0.1245 0.2805 0.7776  3 Se 2.84-3.02
Pb: 0.2805 0.1245 0.2776  3 Se 2.84-3.02
Pb: 0.4282 0.9449 0.7347  3 Se 2.86-3.00
Pb: 0.5718 0.0551 0.2653  3 Se 2.86-3.00
Pb: 0.7195 0.8755 0.7224  3 Se 2.84-3.02
Pb: 0.8755 0.7195 0.2224  3 Se 2.84-3.02
Pb: 0.9449 0.4282 0.2347  3 Se 2.86-3.00
Se: 0.0830 0.6351 0.4654  2 Pb 2.86
Se: 0.0986 0.2375 0.1006  2 Pb 2.90-3.02
Se: 0.2375 0.0986 0.6006  2 Pb 2.90-3.02
Se: 0.2642 0.4888 0.9257  2 Pb 2.84-3.00
Se: 0.3649 0.9170 0.0346  2 Pb 2.86
Se: 0.4888 0.2642 0.4257  2 Pb 2.84-3.00
Se: 0.5112 0.7358 0.5743  2 Pb 2.84-3.00
Se: 0.6351 0.0830 0.9654  2 Pb 2.86
Se: 0.7358 0.5112 0.0743  2 Pb 2.84-3.00
Se: 0.7625 0.9014 0.3994  2 Pb 2.90-3.02
Se: 0.9014 0.7625 0.8994  2 Pb 2.90-3.02
Se: 0.9170 0.3649 0.5346  2 Pb 2.86

Formation energy from raw total energies   -0.8067 eV per atom
E above lowest polymorph   0.000 eV per atom
SG   C2/c (15)

[2]
VASP calculation (GGA-PBE) on crystalline PmGa2Co at its relaxed geometry.

Cell lengths 3.1615, 3.1615, 7.0603 Å; angles 90.00, 90.00, 90.00 degrees
Last column: nearest neighbours and their distance in Å.
Fractional coordinates of all 4 atoms:
Pm: 0.0000 0.0000 0.0000  8 Ga 3.15, 4 Pm 3.16
Ga: 0.5000 0.5000 0.3140  4 Co 2.59, 1 Ga 2.63
Ga: 0.5000 0.5000 0.6860  4 Co 2.59, 1 Ga 2.63
Co: 0.0000 0.0000 0.5000  8 Ga 2.59

D(E_F)   2.213 states/eV/f.u.
E above lowest polymorph   0.232 eV per atom
SG   P4/mmm (123)

[3]
VASP calculation (GGA-PBE) on crystalline Sc3Be4 at its relaxed geometry.

Cell lengths 12.4945, 12.4945, 12.4945 Å; angles 166.73, 166.73, 18.81 degrees
Last column: nearest neighbours and their distance in Å.
Fractional coordinates of all 7 atoms:
Sc: 0.0000 0.0000 0.0000  10 Be 2.80-2.90, 4 Sc 2.89
Sc: 0.3040 0.3040 0.0000  5 Be 2.81-2.92, 4 Sc 2.89
Sc: 0.6960 0.6960 0.0000  5 Be 2.81-2.92, 4 Sc 2.89
Be: 0.1176 0.1176 0.0000  4 Be 2.27
Be: 0.4222 0.4222 0.0000  4 Be 2.27
Be: 0.5778 0.5778 0.0000  4 Be 2.27
Be: 0.8824 0.8824 0.0000  4 Be 2.27

D(E_F)   6.136 states/eV/f.u.
E above lowest polymorph   0.000 eV per atom
SG   I4/mmm (139)

[4]
VASP calculation (GGA-PBE) on crystalline AcTb2Tl2 at its relaxed geometry.

Cell lengths 7.3420, 5.3100, 9.0669 Å; angles 90.00, 112.85, 90.00 degrees
Last column: nearest neighbours and their distance in Å.
Fractional coordinates of all 10 atoms:
Ac: 0.2479 0.2500 0.2484  6 Tl 3.52-3.53
Ac: 0.7521 0.7500 0.7516  6 Tl 3.52-3.53
Tb: 0.1619 0.7500 0.5453  3 Tl 3.17, 3 Tb 3.44-3.45
Tb: 0.3399 0.7500 0.9574  3 Tl 3.17, 3 Tb 3.43-3.45
Tb: 0.6601 0.2500 0.0426  3 Tl 3.17, 3 Tb 3.43-3.45
Tb: 0.8381 0.2500 0.4547  3 Tl 3.17, 3 Tb 3.44-3.45
Tl: 0.0929 0.2500 0.8284  3 Tb 3.17, 1 Tl 3.19, 3 Ac 3.53
Tl: 0.4103 0.2500 0.6683  3 Tb 3.17, 1 Tl 3.19, 3 Ac 3.52-3.53
Tl: 0.5897 0.7500 0.3317  3 Tb 3.17, 1 Tl 3.19, 3 Ac 3.52-3.53
Tl: 0.9071 0.7500 0.1716  3 Tb 3.17, 1 Tl 3.19, 3 Ac 3.53

D(E_F)   3.266 states/eV/f.u.
SG   P2_1/m (11)

[5]
VASP calculation (GGA-PBE) on crystalline LiCe4Sm3S8 at its relaxed geometry.

Cell lengths 8.0232, 8.0232, 8.0232 Å; angles 59.79, 59.79, 59.79 degrees
Last column: nearest neighbours and their distance in Å.
Fractional coordinates of all 16 atoms:
Li: 0.0000 0.0000 0.0000  6 S 2.76
Ce: 0.0000 0.0000 0.5000  6 S 2.84
Ce: 0.0000 0.5000 0.0000  6 S 2.84
Ce: 0.5000 0.0000 0.0000  6 S 2.84
Ce: 0.5000 0.5000 0.5000  6 S 2.90
Sm: 0.0000 0.5000 0.5000  6 S 2.82
Sm: 0.5000 0.0000 0.5000  6 S 2.82
Sm: 0.5000 0.5000 0.0000  6 S 2.82
S: 0.2438 0.2438 0.7548  1 Li 2.76, 2 Sm 2.82, 3 Ce 2.84-2.90
S: 0.2438 0.7548 0.2438  1 Li 2.76, 2 Sm 2.82, 3 Ce 2.84-2.90
S: 0.2452 0.7562 0.7562  1 Li 2.76, 2 Sm 2.82, 3 Ce 2.84-2.90
S: 0.2507 0.2507 0.2507  3 Sm 2.82, 3 Ce 2.84
S: 0.7493 0.7493 0.7493  3 Sm 2.82, 3 Ce 2.84
S: 0.7548 0.2438 0.2438  1 Li 2.76, 2 Sm 2.82, 3 Ce 2.84-2.90
S: 0.7562 0.2452 0.7562  1 Li 2.76, 2 Sm 2.82, 3 Ce 2.84-2.90
S: 0.7562 0.7562 0.2452  1 Li 2.76, 2 Sm 2.82, 3 Ce 2.84-2.90

Formation energy from raw total energies   -1.9641 eV per atom
D(E_F)   23.771 states/eV/f.u.
SG   R-3m (166)

[6]
VASP calculation (GGA-PBE) on crystalline Ni2HgIr at its relaxed geometry.

Cell lengths 4.7713, 4.7713, 4.7713 Å; angles 132.78, 132.78, 69.00 degrees
Last column: nearest neighbours and their distance in Å.
Fractional coordinates of all 4 atoms:
Ni: 0.0000 0.0000 0.0000  4 Ir 2.70, 4 Hg 2.74, 4 Ni 2.74
Ni: 0.7500 0.2500 0.5000  4 Hg 2.70, 4 Ni 2.74, 4 Ir 2.74
Hg: 0.2500 0.7500 0.5000  8 Ni 2.70-2.74, 4 Ir 2.74
Ir: 0.5000 0.5000 0.0000  8 Ni 2.70-2.74, 4 Hg 2.74

D(E_F)   5.012 states/eV/f.u.
SG   I-4m2 (119)

[7]
VASP calculation (GGA-PBE) on crystalline ErNi12B4 at its relaxed geometry.

Cell lengths 6.2571, 6.2571, 6.2571 Å; angles 109.47, 109.47, 109.47 degrees
Last column: nearest neighbours and their distance in Å.
Fractional coordinates of all 17 atoms:
Er: 0.0000 0.0000 0.0000  12 Ni 2.73
Ni: 0.1505 0.3320 0.8185  2 B 1.96
Ni: 0.1815 0.5135 0.3320  2 B 1.96
Ni: 0.1815 0.8495 0.6680  2 B 1.96
Ni: 0.3320 0.1815 0.5135  2 B 1.96
Ni: 0.3320 0.8185 0.1505  2 B 1.96
Ni: 0.4865 0.6680 0.8185  2 B 1.96
Ni: 0.5135 0.3320 0.1815  2 B 1.96
Ni: 0.6680 0.1815 0.8495  2 B 1.96
Ni: 0.6680 0.8185 0.4865  2 B 1.96
Ni: 0.8185 0.1505 0.3320  2 B 1.96
Ni: 0.8185 0.4865 0.6680  2 B 1.96
Ni: 0.8495 0.6680 0.1815  2 B 1.96
B: 0.0000 0.0000 0.5000  6 Ni 1.96
B: 0.0000 0.5000 0.0000  6 Ni 1.96
B: 0.5000 0.0000 0.0000  6 Ni 1.96
B: 0.5000 0.5000 0.5000  6 Ni 1.96

D(E_F)   4.850 states/eV/f.u.
SG   Im-3 (204)

[8]
VASP calculation (GGA-PBE) on crystalline CeTh2Zr at its relaxed geometry.

Cell lengths 3.5100, 3.5100, 9.2775 Å; angles 90.00, 90.00, 90.00 degrees
Last column: nearest neighbours and their distance in Å.
Fractional coordinates of all 4 atoms:
Ce: 0.0000 0.0000 0.0000  8 Th 3.43, 4 Ce 3.51
Th: 0.5000 0.5000 0.2551  4 Zr 3.36, 4 Ce 3.43, 4 Th 3.51
Th: 0.5000 0.5000 0.7449  4 Zr 3.36, 4 Ce 3.43, 4 Th 3.51
Zr: 0.0000 0.0000 0.5000  8 Th 3.36, 4 Zr 3.51

D(E_F)   6.162 states/eV/f.u.
E above lowest polymorph   0.000 eV per atom
SG   P4/mmm (123)

[9]
VASP calculation (GGA-PBE) on crystalline Re2RuPb at its relaxed geometry.

Cell lengths 5.0798, 5.0798, 2.9337 Å; angles 90.00, 90.00, 117.46 degrees
Last column: nearest neighbours and their distance in Å.
Fractional coordinates of all 4 atoms:
Re: 0.0000 0.5000 0.0000  4 Re 2.64-2.93, 4 Pb 2.93, 4 Ru 2.93
Re: 0.5000 0.0000 0.0000  4 Re 2.64-2.93, 4 Pb 2.93, 4 Ru 2.93
Ru: 0.0000 0.0000 0.5000  2 Pb 2.64, 8 Re 2.93, 2 Ru 2.93
Pb: 0.5000 0.5000 0.5000  2 Ru 2.64, 8 Re 2.93, 2 Pb 2.93

D(E_F)   4.723 states/eV/f.u.
SG   Cmmm (65)

[10]
VASP calculation (GGA-PBE) on crystalline Mn5NiPd6 at its relaxed geometry.

Cell lengths 7.3789, 7.3789, 7.3789 Å; angles 147.86, 122.46, 67.45 degrees
Last column: nearest neighbours and their distance in Å.
Fractional coordinates of all 12 atoms:
Mn: 0.0000 0.0000 0.0000  8 Pd 2.65-2.68, 4 Mn 2.95
Mn: 0.1732 0.6732 0.5000  8 Pd 2.68-2.71, 4 Mn 2.95-2.96
Mn: 0.3478 0.3478 0.0000  8 Pd 2.64-2.83, 2 Ni 2.77
Mn: 0.6522 0.6522 0.0000  8 Pd 2.64-2.83, 2 Ni 2.77
Mn: 0.8268 0.3268 0.5000  8 Pd 2.68-2.71, 4 Mn 2.95-2.96
Ni: 0.5000 0.0000 0.5000  8 Pd 2.72-2.77, 4 Mn 2.77
Pd: 0.0797 0.8340 0.2457  7 Mn 2.68-2.83, 1 Ni 2.72, 4 Pd 2.89-2.90
Pd: 0.2369 0.5000 0.7369  6 Mn 2.64-2.71, 2 Ni 2.77, 4 Pd 2.89
Pd: 0.4117 0.1660 0.2457  7 Mn 2.68-2.83, 1 Ni 2.72, 4 Pd 2.89-2.90
Pd: 0.5883 0.8340 0.7543  7 Mn 2.68-2.83, 1 Ni 2.72, 4 Pd 2.89-2.90
Pd: 0.7631 0.5000 0.2631  6 Mn 2.64-2.71, 2 Ni 2.77, 4 Pd 2.89
Pd: 0.9203 0.1660 0.7543  7 Mn 2.68-2.83, 1 Ni 2.72, 4 Pd 2.89-2.90

D(E_F)   4.394 states/eV/f.u.
SG   Immm (71)

[11]
VASP calculation (GGA-PBE) on crystalline CeDyNiOs at its relaxed geometry.

Cell lengths 4.8412, 4.8412, 4.8412 Å; angles 60.00, 60.00, 60.00 degrees
Last column: nearest neighbours and their distance in Å.
Fractional coordinates of all 4 atoms:
Ce: 0.0000 0.0000 0.0000  4 Ni 2.96, 4 Os 2.96
Dy: 0.5000 0.5000 0.5000  4 Ni 2.96, 4 Os 2.96
Ni: 0.7500 0.7500 0.7500  4 Dy 2.96, 4 Ce 2.96
Os: 0.2500 0.2500 0.2500  4 Ce 2.96, 4 Dy 2.96

D(E_F)   4.555 states/eV/f.u.
SG   F-43m (216)

[12]
VASP calculation (GGA-PBE) on crystalline Ru2WAuN at its relaxed geometry.

Cell lengths 4.6983, 4.6983, 5.1055 Å; angles 90.00, 90.00, 90.00 degrees
Last column: nearest neighbours and their distance in Å.
Fractional coordinates of all 5 atoms:
Ru: 0.0000 0.5000 0.0000  2 W 2.35
Ru: 0.5000 0.0000 0.0000  2 W 2.35
W: 0.0000 0.0000 0.0000  4 Ru 2.35, 2 Au 2.55
Au: 0.0000 0.0000 0.5000  2 W 2.55
N: 0.5000 0.5000 0.5000  4 Au 3.32, 8 Ru 3.47

Formation energy from raw total energies   2.5753 eV per atom
D(E_F)   5.156 states/eV/f.u.
SG   P4/mmm (123)

| no. | final energy (eV/atom) | M_tot (μB per formula unit) |
| --- | --- | --- |
| 1 | -3.60 | 0.00 |
| 2 | -4.78 | 0.92 |
| 3 | -4.74 | 0.00 |
| 4 | -3.87 | 0.00 |
| 5 | -6.52 | 3.77 |
| 6 | -4.83 | 1.63 |
| 7 | -6.06 | 0.00 |
| 8 | -7.28 | 0.00 |
| 9 | -8.56 | 0.00 |
| 10 | -7.07 | 22.68 |
| 11 | -7.14 | 0.30 |
| 12 | -6.05 | 3.72 |